Record 1
Computed, not measured: a crystal of Ti6O11 relaxed with PBEsol at the meta-GGA SCAN level of DFT.

The formation energy (no corrections) comes out at -3287 meV per atom. As for the space group: P-1, No. 2.

CIF file:
```
data_Ti6O11
_symmetry_space_group_name_H-M 'P 1'
_symmetry_Int_Tables_number 1
_symmetry_space_group_name_Hall 'P 1'
_cell_length_a 5.5346
_cell_length_b 7.1120
_cell_length_c 9.6826
_cell_angle_alpha 90.06
_cell_angle_beta 100.31
_cell_angle_gamma 108.57
loop_
_atom_site_label
_atom_site_fract_x
_atom_site_fract_y
_atom_site_fract_z
_atom_site_occupancy
Ti1 0.1781 0.1930 0.4349 1
Ti2 0.1816 0.6965 0.4400 1
Ti3 0.2287 0.6368 0.0879 1
Ti4 0.2300 0.1402 0.0820 1
Ti5 0.3095 0.5734 0.7420 1
Ti6 0.3135 0.0753 0.7426 1
Ti7 0.6865 0.9247 0.2574 1
Ti8 0.6905 0.4266 0.2580 1
Ti9 0.7700 0.8598 0.9180 1
Ti10 0.7713 0.3632 0.9121 1
Ti11 0.8184 0.3035 0.5600 1
Ti12 0.8219 0.8070 0.5651 1
O1 0.0140 0.9050 0.3906 1
O2 0.0571 0.5706 0.2571 1
O3 0.0976 0.3578 0.0232 1
O4 0.1200 0.0138 0.8905 1
O5 0.1858 0.7987 0.6454 1
O6 0.2109 0.4547 0.5334 1
O7 0.3378 0.2615 0.2822 1
O8 0.3620 0.9212 0.1513 1
O9 0.4061 0.6986 0.9253 1
O10 0.4312 0.3574 0.7954 1
O11 0.4721 0.1700 0.5653 1
O12 0.5279 0.8300 0.4347 1
O13 0.5688 0.6426 0.2046 1
O14 0.5939 0.3014 0.0747 1
O15 0.6380 0.0788 0.8487 1
O16 0.6622 0.7385 0.7178 1
O17 0.7891 0.5453 0.4666 1
O18 0.8142 0.2013 0.3546 1
O19 0.8800 0.9862 0.1095 1
O20 0.9024 0.6422 0.9768 1
O21 0.9429 0.4294 0.7429 1
O22 0.9860 0.0950 0.6094 1
```

=====

Record 2
Computed, not measured: a crystal of Li2Cu relaxed with PBEsol at the meta-GGA SCAN level of DFT.

The calculated formation energy comes out at 1.4 meV per atom. As for the space group: Fd-3m, No. 227.

CIF file:
```
data_Li2Cu
_symmetry_space_group_name_H-M 'P 1'
_symmetry_Int_Tables_number 1
_symmetry_space_group_name_Hall 'P 1'
_cell_length_a 8.0150
_cell_length_b 8.0150
_cell_length_c 8.0150
_cell_angle_alpha 60.00
_cell_angle_beta 60.00
_cell_angle_gamma 60.00
loop_
_atom_site_label
_atom_site_fract_x
_atom_site_fract_y
_atom_site_fract_z
_atom_site_occupancy
Li1 0.0000 0.0000 0.0000 1
Li2 0.0000 0.0000 0.5000 1
Li3 0.0000 0.5000 0.0000 1
Li4 0.1806 0.1806 0.5694 1
Li5 0.1806 0.5694 0.1806 1
Li6 0.1806 0.5694 0.5694 1
Li7 0.4306 0.4306 0.8194 1
Li8 0.4306 0.8194 0.4306 1
Li9 0.4306 0.8194 0.8194 1
Li10 0.5000 0.0000 0.0000 1
Li11 0.5694 0.1806 0.1806 1
Li12 0.5694 0.1806 0.5694 1
Li13 0.5694 0.5694 0.1806 1
Li14 0.8194 0.4306 0.4306 1
Li15 0.8194 0.4306 0.8194 1
Li16 0.8194 0.8194 0.4306 1
Cu1 0.1118 0.7961 0.7961 1
Cu2 0.2039 0.2039 0.2039 1
Cu3 0.2039 0.2039 0.8882 1
Cu4 0.2039 0.8882 0.2039 1
Cu5 0.7961 0.1118 0.7961 1
Cu6 0.7961 0.7961 0.1118 1
Cu7 0.7961 0.7961 0.7961 1
Cu8 0.8882 0.2039 0.2039 1
```

=====

Per-record raw total energy, eV per atom: -12.98; -6.66